A plane-wave DFT calculation with PBE was carried out for GaHgRu3 after structural relaxation.

Cell lengths 4.9624, 4.9624, 4.9624 Å; angles 90.00, 90.00, 90.00 degrees
Fractional positions:
Ga  0.0000  0.0000  0.0000
Hg  0.5000  0.5000  0.5000
Ru  0.0000  0.5000  0.5000
Ru  0.5000  0.0000  0.5000
Ru  0.5000  0.5000  0.0000

Values from the calculation:
Energy of formation ... 51.316 kcal/mol of atoms
Electronic total energy ... -4.01 eV/atom
DOS at the Fermi energy ... 7.0 states/eV per cell
Space group ... Pm-3m, No. 221